[1]
## SmGeO (PBE-GGA)

Data for crystalline SmGeO at its relaxed geometry.

Output
The formation energy without anion corrections comes out at -4.99 eV per formula unit. The calculation puts the polymorph energy (0 for the lowest one) at 444.5 meV per atom. Its spin magnetization is 0.00 μB per formula unit.

a b c (Å): 3.201 14.395 5.328
angles (deg): 90.00 90.00 90.00
Space group Cmcm (No. 63)
Symmetry-distinct sites (fractional):
Sm (0.000, 0.070, 0.250) [4 per cell]
Ge (0.000, 0.226, 0.750) [4 per cell]
O (0.000, 0.500, 0.000) [4 per cell]

[2]
## Ho7Bi5 (PBE-GGA)

Data for crystalline Ho7Bi5 at its relaxed geometry.

Output
The value obtained for the formation energy is -560.4 meV per atom. Its spin magnetization is 0.00 μB per formula unit.

a b c (Å): 14.573 4.418 12.672
angles (deg): 90.00 112.26 90.00
Space group C2/m (No. 12)
Symmetry-distinct sites (fractional):
Ho (0.000, 0.000, 0.000) [2 per cell]
Ho (0.050, 0.500, 0.287) [4 per cell]
Ho (0.163, 0.000, 0.530) [4 per cell]
Ho (0.206, 0.000, 0.832) [4 per cell]
Bi (0.000, 0.500, 0.500) [2 per cell]
Bi (0.121, 0.500, 0.939) [4 per cell]
Bi (0.198, 0.000, 0.281) [4 per cell]

[3]
## HfPa3Se6 (PBE-GGA)

Data for crystalline HfPa3Se6 at its relaxed geometry.

Output
The formation energy without anion corrections comes out at -12.06 eV per formula unit. Its spin magnetization is 2.09 μB per formula unit.

a b c (Å): 11.233 13.479 6.722
angles (deg): 90.00 90.00 90.00
Space group Cmc2_1 (No. 36)
Symmetry-distinct sites (fractional):
Hf (0.000, 0.150, 0.000) [4 per cell]
Pa (0.000, 0.394, 0.352) [4 per cell]
Pa (0.167, 0.101, 0.466) [8 per cell]
Se (0.000, 0.006, 0.730) [4 per cell]
Se (0.000, 0.244, 0.650) [4 per cell]
Se (0.163, 0.467, 0.661) [8 per cell]
Se (0.170, 0.258, 0.163) [8 per cell]

Record order is preserved below.
Density of states at the Fermi level: 6.19 15.77 54.47 states/eV/cell